[1]
# Ac2LaTl3Se6 | Alexandria via LeMat-Bulk | PBE | optimized geometry
# * mass density: 6.81 g/cm³
# * uncorrected energy: -4.874 eV/atom
# * N(E_F): 0.00 states/eV per cell
# * E_form (uncorrected): -1445 meV per atom
# * total magnetic moment: 0.00 μB per formula unit
data_Ac2LaTl3Se6
_cell_length_a 7.841
_cell_length_b 13.577
_cell_length_c 8.132
_cell_angle_alpha 90.00
_cell_angle_beta 108.74
_cell_angle_gamma 90.00
_symmetry_space_group_name_H-M 'C 1 2/m 1'
_symmetry_Int_Tables_number 12
loop_
_symmetry_equiv_pos_as_xyz
'x,y,z'
'-x,-y,-z'
'-x,y,-z'
'x,-y,z'
'x+1/2,y+1/2,z'
'-x+1/2,-y+1/2,-z'
'-x+1/2,y+1/2,-z'
'x+1/2,-y+1/2,z'
loop_
_atom_site_label
_atom_site_fract_x
_atom_site_fract_y
_atom_site_fract_z
Ac1 0.000 0.167 0.000
La1 0.000 0.500 0.000
Tl1 0.000 0.000 0.500
Tl2 0.000 0.333 0.500
Se1 0.234 0.337 0.215
Se2 0.246 0.000 0.217

=====

[2]
# AcLa2Tl3Se6 | Alexandria via LeMat-Bulk | PBE | optimized geometry
# * mass density: 6.60 g/cm³
# * uncorrected energy: -4.948 eV/atom
# * N(E_F): 0.00 states/eV per cell
# * E_form (uncorrected): -1451 meV per atom
# * total magnetic moment: 0.00 μB per formula unit
data_AcLa2Tl3Se6
_cell_length_a 7.755
_cell_length_b 13.427
_cell_length_c 8.119
_cell_angle_alpha 90.00
_cell_angle_beta 108.57
_cell_angle_gamma 90.00
_symmetry_space_group_name_H-M 'C 1 2/m 1'
_symmetry_Int_Tables_number 12
loop_
_symmetry_equiv_pos_as_xyz
'x,y,z'
'-x,-y,-z'
'-x,y,-z'
'x,-y,z'
'x+1/2,y+1/2,z'
'-x+1/2,-y+1/2,-z'
'-x+1/2,y+1/2,-z'
'x+1/2,-y+1/2,z'
loop_
_atom_site_label
_atom_site_fract_x
_atom_site_fract_y
_atom_site_fract_z
Ac1 0.000 0.000 0.000
La1 0.000 0.333 0.000
Tl1 0.000 0.166 0.500
Tl2 0.000 0.500 0.500
Se1 0.230 0.500 0.212
Se2 0.242 0.171 0.214

=====

[3]
# Ac3La2TmSe6 | Alexandria via LeMat-Bulk | PBE | optimized geometry
# * mass density: 7.66 g/cm³
# * uncorrected energy: -5.831 eV/atom
# * N(E_F): 12.60 states/eV per cell
# * E_form (uncorrected): -1868 meV per atom
# * total magnetic moment: 0.00 μB per formula unit
data_Ac3La2TmSe6
_cell_length_a 7.477
_cell_length_b 12.987
_cell_length_c 7.578
_cell_angle_alpha 90.00
_cell_angle_beta 109.37
_cell_angle_gamma 90.00
_symmetry_space_group_name_H-M 'C 1 2/m 1'
_symmetry_Int_Tables_number 12
loop_
_symmetry_equiv_pos_as_xyz
'x,y,z'
'-x,-y,-z'
'-x,y,-z'
'x,-y,z'
'x+1/2,y+1/2,z'
'-x+1/2,-y+1/2,-z'
'-x+1/2,y+1/2,-z'
'x+1/2,-y+1/2,z'
loop_
_atom_site_label
_atom_site_fract_x
_atom_site_fract_y
_atom_site_fract_z
Ac1 0.000 0.000 0.000
Ac2 0.000 0.327 0.000
La1 0.000 0.166 0.500
Tm1 0.000 0.500 0.500
Se1 0.235 0.341 0.728
Se2 0.239 0.500 0.264

=====

[4]
# Ac2LaTmSe4 | Alexandria via LeMat-Bulk | PBE | optimized geometry
# * mass density: 7.85 g/cm³
# * uncorrected energy: -5.775 eV/atom
# * N(E_F): 4.21 states/eV per cell
# * E_form (uncorrected): -1831 meV per atom
# * total magnetic moment: 0.00 μB per formula unit
data_Ac2LaTmSe4
_cell_length_a 7.380
_cell_length_b 4.215
_cell_length_c 7.713
_cell_angle_alpha 90.00
_cell_angle_beta 108.20
_cell_angle_gamma 90.00
_symmetry_space_group_name_H-M 'P 1 2/m 1'
_symmetry_Int_Tables_number 10
loop_
_symmetry_equiv_pos_as_xyz
'x,y,z'
'-x,-y,-z'
'-x,y,-z'
'x,-y,z'
loop_
_atom_site_label
_atom_site_fract_x
_atom_site_fract_y
_atom_site_fract_z
Ac1 0.000 0.000 0.000
Ac2 0.500 0.500 0.000
La1 0.000 0.500 0.500
Tm1 0.500 0.000 0.500
Se1 0.256 0.000 0.729
Se2 0.272 0.500 0.279

=====

[5]
# AcLa2TmSe5 | Alexandria via LeMat-Bulk | PBE | optimized geometry
# * mass density: 6.00 g/cm³
# * uncorrected energy: -5.519 eV/atom
# * N(E_F): 4.37 states/eV per cell
# * E_form (uncorrected): -1535 meV per atom
# * total magnetic moment: 1.08 μB per formula unit
data_AcLa2TmSe5
_cell_length_a 5.108
_cell_length_b 5.108
_cell_length_c 11.334
_cell_angle_alpha 90.00
_cell_angle_beta 90.00
_cell_angle_gamma 90.00
_symmetry_space_group_name_H-M 'P 4/m m m'
_symmetry_Int_Tables_number 123
_symmetry_space_group_name_Hall '-P 4 2'
loop_
_atom_site_label
_atom_site_fract_x
_atom_site_fract_y
_atom_site_fract_z
Ac1 0.000 0.000 0.000
La1 0.500 0.500 0.331
Tm1 0.000 0.000 0.500
Se1 0.000 0.000 0.257
Se2 0.000 0.500 0.500
Se3 0.500 0.500 0.000

=====

[6]
# Ac2LaTmSe5 | Alexandria via LeMat-Bulk | PBE | optimized geometry
# * mass density: 7.01 g/cm³
# * uncorrected energy: -5.717 eV/atom
# * N(E_F): 14.00 states/eV per cell
# * E_form (uncorrected): -1824 meV per atom
# * total magnetic moment: 0.23 μB per formula unit
data_Ac2LaTmSe5
_cell_length_a 4.230
_cell_length_b 18.044
_cell_length_c 14.351
_cell_angle_alpha 90.00
_cell_angle_beta 90.00
_cell_angle_gamma 90.00
_symmetry_space_group_name_H-M 'C m c 21'
_symmetry_Int_Tables_number 36
loop_
_symmetry_equiv_pos_as_xyz
'x,y,z'
'-x,-y,z+1/2'
'-x,y,z'
'x,-y,z+1/2'
'x+1/2,y+1/2,z'
'-x+1/2,-y+1/2,z+1/2'
'-x+1/2,y+1/2,z'
'x+1/2,-y+1/2,z+1/2'
loop_
_atom_site_label
_atom_site_fract_x
_atom_site_fract_y
_atom_site_fract_z
Ac1 0.000 0.083 0.000
Ac2 0.000 0.138 0.664
La1 0.000 0.448 0.809
Tm1 0.000 0.231 0.396
Se1 0.000 0.083 0.446
Se2 0.000 0.255 0.038
Se3 0.000 0.291 0.764
Se4 0.000 0.382 0.342
Se5 0.000 0.495 0.121

=====

[7]
# AcLaTm2Se4 | Alexandria via LeMat-Bulk | PBE | optimized geometry
# * mass density: 8.06 g/cm³
# * uncorrected energy: -5.790 eV/atom
# * N(E_F): 3.29 states/eV per cell
# * E_form (uncorrected): -1800 meV per atom
# * total magnetic moment: 0.00 μB per formula unit
data_AcLaTm2Se4
_cell_length_a 7.100
_cell_length_b 4.082
_cell_length_c 7.625
_cell_angle_alpha 90.00
_cell_angle_beta 107.98
_cell_angle_gamma 90.00
_symmetry_space_group_name_H-M 'P 1 2/m 1'
_symmetry_Int_Tables_number 10
loop_
_symmetry_equiv_pos_as_xyz
'x,y,z'
'-x,-y,-z'
'-x,y,-z'
'x,-y,z'
loop_
_atom_site_label
_atom_site_fract_x
_atom_site_fract_y
_atom_site_fract_z
Ac1 0.000 0.000 0.000
La1 0.500 0.500 0.000
Tm1 0.000 0.500 0.500
Tm2 0.500 0.000 0.500
Se1 0.243 0.000 0.720
Se2 0.264 0.500 0.283

=====

[8]
# Ac2LaTmSe6 | Alexandria via LeMat-Bulk | PBE | optimized geometry
# * mass density: 6.60 g/cm³
# * uncorrected energy: -5.830 eV/atom
# * N(E_F): 0.00 states/eV per cell
# * E_form (uncorrected): -1978 meV per atom
# * total magnetic moment: 0.00 μB per formula unit
data_Ac2LaTmSe6
_cell_length_a 7.269
_cell_length_b 7.979
_cell_length_c 12.844
_cell_angle_alpha 90.00
_cell_angle_beta 123.39
_cell_angle_gamma 90.00
_symmetry_space_group_name_H-M 'P 1 21/c 1'
_symmetry_Int_Tables_number 14
loop_
_symmetry_equiv_pos_as_xyz
'x,y,z'
'-x,-y,-z'
'-x,y+1/2,-z+1/2'
'x,-y+1/2,z+1/2'
loop_
_atom_site_label
_atom_site_fract_x
_atom_site_fract_y
_atom_site_fract_z
Ac1 0.211 0.095 0.247
La1 0.500 0.000 0.000
Tm1 0.000 0.000 0.500
Se1 0.101 0.193 0.930
Se2 0.244 0.682 0.931
Se3 0.381 0.049 0.741

=====

[9]
# AcLa2TmSe4 | Alexandria via LeMat-Bulk | PBE | optimized geometry
# * mass density: 7.37 g/cm³
# * uncorrected energy: -5.901 eV/atom
# * N(E_F): 5.09 states/eV per cell
# * E_form (uncorrected): -1854 meV per atom
# * total magnetic moment: 0.00 μB per formula unit
data_AcLa2TmSe4
_cell_length_a 7.402
_cell_length_b 4.230
_cell_length_c 7.516
_cell_angle_alpha 90.00
_cell_angle_beta 108.77
_cell_angle_gamma 90.00
_symmetry_space_group_name_H-M 'P 1 2/m 1'
_symmetry_Int_Tables_number 10
loop_
_symmetry_equiv_pos_as_xyz
'x,y,z'
'-x,-y,-z'
'-x,y,-z'
'x,-y,z'
loop_
_atom_site_label
_atom_site_fract_x
_atom_site_fract_y
_atom_site_fract_z
Ac1 0.000 0.000 0.000
La1 0.500 0.000 0.500
La2 0.500 0.500 0.000
Tm1 0.000 0.500 0.500
Se1 0.234 0.000 0.728
Se2 0.247 0.500 0.267

=====

[10]
# Ac2LaUSe6 | Alexandria via LeMat-Bulk | PBE | optimized geometry
# * mass density: 6.27 g/cm³
# * uncorrected energy: -6.247 eV/atom
# * N(E_F): 7.62 states/eV per cell
# * E_form (uncorrected): -1713 meV per atom
# * total magnetic moment: 3.03 μB per formula unit
data_Ac2LaUSe6
_cell_length_a 7.711
_cell_length_b 7.715
_cell_length_c 8.045
_cell_angle_alpha 90.09
_cell_angle_beta 118.62
_cell_angle_gamma 119.90
_symmetry_space_group_name_H-M 'P 1'
_symmetry_Int_Tables_number 1
loop_
_symmetry_equiv_pos_as_xyz
'x,y,z'
loop_
_atom_site_label
_atom_site_fract_x
_atom_site_fract_y
_atom_site_fract_z
Ac1 0.000 0.000 0.000
Ac2 0.004 0.501 0.508
La1 0.585 0.794 0.378
U1 0.591 0.297 0.888
Se1 0.082 0.671 0.173
Se2 0.097 0.923 0.676
Se3 0.502 0.411 0.174
Se4 0.502 0.580 0.676
Se5 0.752 0.173 0.677
Se6 0.762 0.092 0.174

=====

[11]
# Ac3La2YSe6 | Alexandria via LeMat-Bulk | PBE | optimized geometry
# * mass density: 7.23 g/cm³
# * uncorrected energy: -6.017 eV/atom
# * N(E_F): 12.85 states/eV per cell
# * E_form (uncorrected): -1888 meV per atom
# * total magnetic moment: 0.00 μB per formula unit
data_Ac3La2YSe6
_cell_length_a 7.505
_cell_length_b 13.033
_cell_length_c 7.581
_cell_angle_alpha 90.00
_cell_angle_beta 109.42
_cell_angle_gamma 90.00
_symmetry_space_group_name_H-M 'C 1 2/m 1'
_symmetry_Int_Tables_number 12
loop_
_symmetry_equiv_pos_as_xyz
'x,y,z'
'-x,-y,-z'
'-x,y,-z'
'x,-y,z'
'x+1/2,y+1/2,z'
'-x+1/2,-y+1/2,-z'
'-x+1/2,y+1/2,-z'
'x+1/2,-y+1/2,z'
loop_
_atom_site_label
_atom_site_fract_x
_atom_site_fract_y
_atom_site_fract_z
Ac1 0.000 0.000 0.000
Ac2 0.000 0.329 0.000
La1 0.000 0.166 0.500
Y1 0.000 0.500 0.500
Se1 0.238 0.338 0.732
Se2 0.243 0.500 0.263

=====

[12]
# AcLa2YSe6 | Alexandria via LeMat-Bulk | PBE | optimized geometry
# * mass density: 5.31 g/cm³
# * uncorrected energy: -6.075 eV/atom
# * N(E_F): 0.00 states/eV per cell
# * E_form (uncorrected): -1941 meV per atom
# * total magnetic moment: 0.00 μB per formula unit
data_AcLa2YSe6
_cell_length_a 7.6096
_cell_length_b 7.6096
_cell_length_c 19.9662
_cell_angle_alpha 90.00
_cell_angle_beta 90.00
_cell_angle_gamma 120.00
_symmetry_space_group_name_H-M 'R 3'
_symmetry_Int_Tables_number 146
_symmetry_space_group_name_Hall 'R 3'
loop_
_atom_site_label
_atom_site_fract_x
_atom_site_fract_y
_atom_site_fract_z
Ac1 0.0000 0.0000 0.0000
La1 0.0000 0.0000 0.2869
La2 0.0000 0.0000 0.7931
Y1 0.0000 0.0000 0.4912
Se1 0.0129 0.7204 0.3941
Se2 0.0372 0.3513 0.5594